# 1
A plane-wave DFT calculation with PBE was carried out for a relaxed HS crystal.

a b c (Å): 3.676 7.387 4.249
angles (deg): 90.00 90.00 90.00
Fractional positions:
H 0.000 0.083 0.250
H 0.000 0.917 0.750
H 0.500 0.417 0.750
H 0.500 0.583 0.250
S 0.000 0.265 0.250
S 0.000 0.735 0.750
S 0.500 0.235 0.750
S 0.500 0.765 0.250

Values from the calculation:
**Polymorph energy (0 for the lowest one)**: 271 meV per atom
**Total DFT energy (no corrections)**: -3.539 eV/atom

***

# 2
A plane-wave DFT calculation with PBE was carried out for a relaxed BRuRh crystal.

a b c (Å): 4.589 2.841 5.664
angles (deg): 90.00 107.25 90.00
Fractional positions:
B 0.000 0.000 0.000
B 0.249 0.500 0.565
Ru 0.382 0.000 0.331
Ru 0.386 0.000 0.860
Rh 0.842 0.500 0.225
Rh 0.842 0.500 0.705

Values from the calculation:
**Energy of formation**: -0.16 eV/atom
**Total DFT energy (no corrections)**: -7.926 eV/atom